[1]
# Mg2ZnPt | Alexandria via LeMat-Bulk | SCAN | PBEsol geometry
data_Mg2ZnPt
_symmetry_space_group_name_H-M 'P 1 m 1'
_symmetry_Int_Tables_number 6
_cell_length_a 2.945
_cell_length_b 4.358
_cell_length_c 5.368
_cell_angle_alpha 90.00
_cell_angle_beta 105.53
_cell_angle_gamma 90.00
loop_
_symmetry_equiv_pos_as_xyz
'x,y,z'
'x,-y,z'
loop_
_atom_site_label
_atom_site_type_symbol
_atom_site_fract_x
_atom_site_fract_y
_atom_site_fract_z
_atom_site_occupancy
Mg1 Mg 0.000 0.000 0.000 1
Mg2 Mg 0.320 0.500 0.649 1
Zn1 Zn 0.725 0.000 0.457 1
Pt1 Pt 0.592 0.500 0.184 1
# * total magnetization: 0.000 μB/atom
# * Fermi-level density of states: 1.264 states/eV per cell
# * final energy: -24.024 eV per atom

[2]
# Mg2ZnPt | Alexandria via LeMat-Bulk | SCAN | PBEsol geometry
data_Mg2ZnPt
_symmetry_space_group_name_H-M 'P m m m'
_symmetry_Int_Tables_number 47
_cell_length_a 3.024
_cell_length_b 3.456
_cell_length_c 6.193
_cell_angle_alpha 90.00
_cell_angle_beta 90.00
_cell_angle_gamma 90.00
loop_
_symmetry_equiv_pos_as_xyz
'x,y,z'
'-x,-y,-z'
'-x,-y,z'
'x,y,-z'
'x,-y,-z'
'-x,y,z'
'-x,y,-z'
'x,-y,z'
loop_
_atom_site_label
_atom_site_type_symbol
_atom_site_fract_x
_atom_site_fract_y
_atom_site_fract_z
_atom_site_occupancy
Mg1 Mg 0.000 0.000 0.237 1
Zn1 Zn 0.500 0.500 0.500 1
Pt1 Pt 0.500 0.500 0.000 1
# * total magnetization: 0.000 μB/atom
# * Fermi-level density of states: 1.062 states/eV per cell
# * final energy: -24.026 eV per atom

final energy of number 2 (Mg2ZnPt)?
-24.026 eV per atom

Which formula does entry 2 have?
Mg2ZnPt

What is the Fermi-level density of states in the second record?
1.062 states/eV per cell